1.
Here is a geometry-optimized InNiIr3 structure from the Alexandria database. Energies are from PBE.

It has space group Pm-3m (No. 221), with a = 4.847 Å, b = 4.847 Å, c = 4.847 Å, α = 90.00°, β = 90.00° and γ = 90.00°. The inequivalent atoms are In at (0.000, 0.000, 0.000), Ni at (0.500, 0.500, 0.500) and Ir at (0.000, 0.000, 0.500).

As for the uncorrected energy: -4.63 eV/atom. As for the energy above the most stable polymorph in this dataset: 1192 meV/atom. The total magnetization is 0.759 μB per atom. Its formation energy is 2.39 eV per atom.

---

2.
Here is a geometry-optimized In2NiIr structure from the Alexandria database. Energies are from PBE.

It has space group Cm (No. 8), with a = 9.996 Å, b = 3.068 Å, c = 4.632 Å, α = 90.00°, β = 107.58° and γ = 90.00°. The inequivalent atoms are In at (0.000, 0.000, 0.000), In at (0.218, 0.000, 0.622), Ni at (0.472, 0.000, 0.491) and Ir at (0.250, 0.500, 0.141).

As for the uncorrected energy: -5.04 eV/atom. The total magnetization is 0.000 μB per atom. Its formation energy is -0.01 eV per atom.

---

3.
Here is a geometry-optimized InNiIr2 structure from the Alexandria database. Energies are from PBE.

It has space group C2/m (No. 12), with a = 8.964 Å, b = 2.836 Å, c = 4.842 Å, α = 90.00°, β = 101.10° and γ = 90.00°. The inequivalent atoms are In at (0.000, 0.000, 0.000), Ni at (0.000, 0.500, 0.500) and Ir at (0.244, 0.000, 0.727).

As for the uncorrected energy: -6.52 eV/atom. The total magnetization is 0.000 μB per atom. Its formation energy is 0.04 eV per atom.

---

4.
Here is a geometry-optimized InNi2Ir structure from the Alexandria database. Energies are from PBE.

It has space group I-42d (No. 122), with a = 3.822 Å, b = 3.822 Å, c = 17.488 Å, α = 90.00°, β = 90.00° and γ = 90.00°. The inequivalent atoms are In at (0.000, 0.000, 0.000), Ni at (0.203, 0.250, 0.625) and Ir at (0.000, 0.000, 0.500).

As for the uncorrected energy: -5.39 eV/atom. The total magnetization is 0.000 μB per atom. Its formation energy is 0.40 eV per atom.

---

5.
Here is a geometry-optimized In2NiIr structure from the Alexandria database. Energies are from PBE.

It has space group Imm2 (No. 44), with a = 3.101 Å, b = 4.435 Å, c = 9.892 Å, α = 90.00°, β = 90.00° and γ = 90.00°. The inequivalent atoms are In at (0.000, 0.000, 0.000), In at (0.000, 0.500, 0.214), Ni at (0.000, 0.000, 0.484) and Ir at (0.000, 0.500, 0.768).

As for the uncorrected energy: -5.00 eV/atom. The total magnetization is 0.000 μB per atom. Its formation energy is 0.03 eV per atom.

---

6.
Here is a geometry-optimized In4NiIr structure from the Alexandria database. Energies are from PBE.

It has space group F-43m (No. 216), with a = 7.973 Å, b = 7.973 Å, c = 7.973 Å, α = 90.00°, β = 90.00° and γ = 90.00°. The inequivalent atoms are In at (0.125, 0.125, 0.125), Ni at (0.000, 0.000, 0.500) and Ir at (0.250, 0.250, 0.750).

As for the uncorrected energy: -3.42 eV/atom. The total magnetization is 0.000 μB per atom. Its formation energy is 0.84 eV per atom.